VASP calculation (PBE) on Cs2TlCdCl5 after structural relaxation.

Summary:
- ΔE_f (raw): -12.99 eV/f.u.
- Raw total energy: -3.02 eV per atom

Unit cell a=5.217 b=7.581 c=16.377 alpha=90.00 beta=90.00 gamma=90.00
Space group Immm (No. 71)
Inequivalent atoms, fractional coordinates:
Cs  0.000  0.000  0.207 x4
Tl  0.000  0.500  0.000 x2
Cd  0.000  0.500  0.500 x2
Cl  0.000  0.000  0.000 x2
Cl  0.000  0.249  0.385 x8